(1)
An optimized crystal structure of Pm3HoSc, computed with PBE.

Results
Symmetry = No. 2
M_tot = 0.000 μB/f.u.
Excess energy over the best structure of this formula in the dataset = 0 meV per atom
ΔE_f = 0.375 eV/f.u.
Uncorrected energy = -4.9572 eV per atom

CIF file:
```
data_Pm3HoSc
_cell_length_a 3.521
_cell_length_b 8.456
_cell_length_c 11.528
_cell_angle_alpha 110.93
_cell_angle_beta 90.43
_cell_angle_gamma 97.73
_space_group_name_H-M_alt 'P 1'
_space_group_IT_number 1
_space_group_name_Hall 'P 1'
loop_
_atom_site_label
_atom_site_fract_x
_atom_site_fract_y
_atom_site_fract_z
Pm1 0.063 0.131 0.160
Pm2 0.304 0.695 0.545
Pm3 0.362 0.713 0.059
Pm4 0.638 0.287 0.941
Pm5 0.696 0.305 0.455
Pm6 0.937 0.869 0.840
Ho1 0.287 0.457 0.739
Ho2 0.713 0.543 0.261
Sc1 0.206 0.930 0.369
Sc2 0.794 0.070 0.631
```



(2)
An optimized crystal structure of Pm12Ho2Sc5, computed with PBE.

Results
Symmetry = No. 12
M_tot = 0.000 μB/f.u.
ΔE_f = 2.922 eV/f.u.
Uncorrected energy = -4.9947 eV per atom

CIF file:
```
data_Pm12Ho2Sc5
_cell_length_a 8.988
_cell_length_b 8.988
_cell_length_c 8.509
_cell_angle_alpha 90.39
_cell_angle_beta 90.39
_cell_angle_gamma 61.84
_space_group_name_H-M_alt 'P 1'
_space_group_IT_number 1
_space_group_name_Hall 'P 1'
loop_
_atom_site_label
_atom_site_fract_x
_atom_site_fract_y
_atom_site_fract_z
Pm1 0.069 0.069 0.335
Pm2 0.070 0.680 0.338
Pm3 0.160 0.525 0.768
Pm4 0.320 0.930 0.662
Pm5 0.408 0.408 0.122
Pm6 0.475 0.840 0.232
Pm7 0.525 0.160 0.768
Pm8 0.592 0.592 0.878
Pm9 0.680 0.070 0.338
Pm10 0.840 0.475 0.232
Pm11 0.930 0.320 0.662
Pm12 0.931 0.931 0.665
Ho1 0.172 0.828 0.000
Ho2 0.828 0.172 0.000
Sc1 0.196 0.196 0.018
Sc2 0.272 0.272 0.433
Sc3 0.500 0.500 0.500
Sc4 0.728 0.728 0.567
Sc5 0.804 0.804 0.982
```



(3)
An optimized crystal structure of PmHo12Sc5, computed with PBE.

Results
Symmetry = No. 12
M_tot = 0.000 μB/f.u.
ΔE_f = 0.636 eV/f.u.
Uncorrected energy = -5.0392 eV per atom

CIF file:
```
data_PmHo12Sc5
_cell_length_a 6.018
_cell_length_b 6.018
_cell_length_c 16.892
_cell_angle_alpha 93.40
_cell_angle_beta 93.40
_cell_angle_gamma 120.00
_space_group_name_H-M_alt 'P 1'
_space_group_IT_number 1
_space_group_name_Hall 'P 1'
loop_
_atom_site_label
_atom_site_fract_x
_atom_site_fract_y
_atom_site_fract_z
Pm1 0.000 0.000 0.000
Ho1 0.056 0.393 0.167
Ho2 0.113 0.113 0.338
Ho3 0.220 0.554 0.661
Ho4 0.282 0.282 0.833
Ho5 0.393 0.056 0.167
Ho6 0.446 0.780 0.339
Ho7 0.554 0.220 0.661
Ho8 0.607 0.944 0.833
Ho9 0.718 0.718 0.167
Ho10 0.780 0.446 0.339
Ho11 0.887 0.887 0.662
Ho12 0.944 0.607 0.833
Sc1 0.166 0.834 0.500
Sc2 0.333 0.667 0.000
Sc3 0.500 0.500 0.500
Sc4 0.667 0.333 0.000
Sc5 0.834 0.166 0.500
```